Record 1
Entry from Alexandria: an optimized crystal structure of Ac2NdYTm (GGA-PBE).

Lattice parameters (Å, degrees): 6.4585 8.9324 6.7257 90.00 90.00 90.00
Element x y z (fractional)
Ac1 0.2500 0.2047 0.2129
Ac2 0.2500 0.7953 0.2129
Ac3 0.7500 0.2047 0.7871
Ac4 0.7500 0.7953 0.7871
Nd1 0.2500 0.5000 0.9169
Nd2 0.7500 0.5000 0.0831
Y1 0.2500 0.0000 0.6859
Y2 0.7500 0.0000 0.3141
Tm1 0.0000 0.5000 0.5000
Tm2 0.5000 0.5000 0.5000

Calculated values
The value obtained for the calculated density is 7.33 g/cm³. The total energy comes out at -4.525 eV per atom. Its density of states at the Fermi level is 12.125 states/eV/cell.



Record 2
Entry from Alexandria: an optimized crystal structure of TaCoHRu2 (GGA-PBE).

Lattice parameters (Å, degrees): 3.9198 3.9198 3.7520 90.00 90.00 90.00
Element x y z (fractional)
Ta1 0.0000 0.0000 0.0000
Co1 0.5000 0.5000 0.0000
H1 0.5000 0.5000 0.5000
Ru1 0.0000 0.5000 0.5000
Ru2 0.5000 0.0000 0.5000

Calculated values
The value obtained for the calculated density is 12.76 g/cm³. The total energy comes out at -8.408 eV per atom. Its density of states at the Fermi level is 3.760 states/eV/cell.



Record 3
Entry from Alexandria: an optimized crystal structure of Pu2PPt6 (GGA-PBE).

Lattice parameters (Å, degrees): 5.6442 5.6442 6.0890 101.99 101.99 60.10
Element x y z (fractional)
Pu1 0.1414 0.1414 0.3550
Pu2 0.8586 0.8586 0.6450
P1 0.5000 0.5000 0.5000
Pt1 0.1126 0.6193 0.1924
Pt2 0.3768 0.3768 0.7926
Pt3 0.3807 0.8874 0.8076
Pt4 0.6193 0.1126 0.1924
Pt5 0.6232 0.6232 0.2074
Pt6 0.8874 0.3807 0.8076

Calculated values
The value obtained for the calculated density is 17.19 g/cm³. The total energy comes out at -8.528 eV per atom. Its density of states at the Fermi level is 22.071 states/eV/cell.



Record 4
Entry from Alexandria: an optimized crystal structure of Ga2BiB (GGA-PBE).

Lattice parameters (Å, degrees): 6.4830 6.4830 6.4830 125.18 125.18 81.24
Element x y z (fractional)
Ga1 0.3750 0.2488 0.3738
Ga2 0.7512 0.1250 0.1262
Ga3 0.8750 0.0012 0.6262
Ga4 0.9988 0.6250 0.8738
Bi1 0.2500 0.7500 0.5000
Bi2 0.5000 0.5000 0.0000
B1 0.0000 0.0000 0.0000
B2 0.7500 0.2500 0.5000

Calculated values
The value obtained for the calculated density is 6.81 g/cm³. The total energy comes out at -3.771 eV per atom. Its density of states at the Fermi level is 2.756 states/eV/cell.



Record 5
Entry from Alexandria: an optimized crystal structure of Cd4AgHg (GGA-PBE).

Lattice parameters (Å, degrees): 6.8563 6.8563 8.9981 90.00 90.00 142.02
Element x y z (fractional)
Cd1 0.9998 0.0002 0.0000
Cd2 0.0002 0.9998 0.5000
Cd3 0.1729 0.8271 0.7477
Cd4 0.3322 0.6678 0.0018
Cd5 0.4953 0.5047 0.7487
Cd6 0.5047 0.4953 0.2487
Cd7 0.6678 0.3322 0.5018
Cd8 0.8271 0.1729 0.2477
Ag1 0.1621 0.8379 0.2538
Ag2 0.8379 0.1621 0.7538
Hg1 0.3328 0.6672 0.4959
Hg2 0.6672 0.3328 0.9959

Calculated values
The value obtained for the calculated density is 9.67 g/cm³. The total energy comes out at -1.117 eV per atom. Its density of states at the Fermi level is 3.723 states/eV/cell.



Record 6
Entry from Alexandria: an optimized crystal structure of KZr2Co (GGA-PBE).

Lattice parameters (Å, degrees): 6.3010 6.3010 2.9053 102.60 102.60 120.15
Element x y z (fractional)
K1 0.0000 0.0000 0.0000
Zr1 0.0000 0.5000 0.5000
Zr2 0.5000 0.0000 0.5000
Co1 0.5000 0.5000 0.0000

Calculated values
The value obtained for the calculated density is 5.19 g/cm³. The total energy comes out at -5.357 eV per atom. Its density of states at the Fermi level is 5.184 states/eV/cell.



Record 7
Entry from Alexandria: an optimized crystal structure of K3YBr6 (GGA-PBE).

Lattice parameters (Å, degrees): 7.8941 8.4233 13.6442 90.00 123.95 90.00
Element x y z (fractional)
K1 0.0000 0.0000 0.0000
K2 0.0000 0.5000 0.5000
K3 0.2099 0.0794 0.7416
K4 0.2099 0.4206 0.2416
K5 0.7901 0.5794 0.7584
K6 0.7901 0.9206 0.2584
Y1 0.5000 0.0000 0.5000
Y2 0.5000 0.5000 0.0000
Br1 0.1551 0.1788 0.4421
Br2 0.1551 0.3212 0.9421
Br3 0.2568 0.7220 0.4223
Br4 0.2568 0.7780 0.9223
Br5 0.4054 0.0562 0.2709
Br6 0.4054 0.4438 0.7709
Br7 0.5946 0.5562 0.2291
Br8 0.5946 0.9438 0.7291
Br9 0.7432 0.2220 0.0777
Br10 0.7432 0.2780 0.5777
Br11 0.8449 0.6788 0.0579
Br12 0.8449 0.8212 0.5579

Calculated values
The value obtained for the calculated density is 3.03 g/cm³. The energy relative to the elements, uncorrected comes out at -1829 meV per atom. The total energy comes out at -3.808 eV per atom. Its density of states at the Fermi level is 0.000 states/eV/cell.